# 1
ScMo3 | PBE | optimized geometry

Output
Calculated total energy = -76.34 eV per cell

```
data_ScMo3
_chemical_formula_sum 'Sc2 Mo6'
_cell_length_a 5.1364
_cell_length_b 5.1364
_cell_length_c 5.1364
_cell_angle_alpha 90.00
_cell_angle_beta 90.00
_cell_angle_gamma 90.00
_space_group_name_H-M_alt 'P m -3 n'
_space_group_IT_number 223
_space_group_name_Hall '-P 4n 2 3'
loop_
_atom_site_label
_atom_site_fract_x
_atom_site_fract_y
_atom_site_fract_z
_atom_site_occupancy
Sc1 0.0000 0.0000 0.0000 1
Mo1 0.0000 0.2500 0.5000 1
```

# 2
KZr2Rh | PBE | optimized geometry

Output
Calculated total energy = -25.48 eV per cell
E above lowest polymorph = 0 meV per atom

```
data_KZr2Rh
_chemical_formula_sum 'K1 Zr2 Rh1'
_cell_length_a 3.3428
_cell_length_b 3.3434
_cell_length_c 9.3234
_cell_angle_alpha 90.00
_cell_angle_beta 90.04
_cell_angle_gamma 90.00
_space_group_name_H-M_alt 'P 1 m 1'
_space_group_IT_number 6
_space_group_name_Hall 'P -2y'
loop_
_atom_site_label
_atom_site_fract_x
_atom_site_fract_y
_atom_site_fract_z
_atom_site_occupancy
K1 0.0000 0.0000 0.0000 1
Zr1 0.4993 0.5000 0.6322 1
Zr2 0.9987 0.0000 0.4124 1
Rh1 0.4984 0.5000 0.2745 1
```

# 3
Ag4Cl | PBE | optimized geometry

Output
ΔE_f (raw) = 0.598 eV per atom
Calculated total energy = -10.26 eV per cell
E above lowest polymorph = 531 meV per atom

```
data_Ag4Cl
_chemical_formula_sum 'Ag4 Cl1'
_cell_length_a 5.0260
_cell_length_b 5.0260
_cell_length_c 5.0260
_cell_angle_alpha 90.00
_cell_angle_beta 90.00
_cell_angle_gamma 90.00
_space_group_name_H-M_alt 'P m -3 m'
_space_group_IT_number 221
_space_group_name_Hall '-P 4 2 3'
loop_
_atom_site_label
_atom_site_fract_x
_atom_site_fract_y
_atom_site_fract_z
_atom_site_occupancy
Ag1 0.0000 0.0000 0.0000 1
Ag2 0.0000 0.5000 0.5000 1
Cl1 0.5000 0.5000 0.5000 1
```

# 4
Be2CdSi | PBE | optimized geometry

Output
ΔE_f (raw) = 0.419 eV per atom
Calculated total energy = -24.23 eV per cell
E above lowest polymorph = 13 meV per atom

```
data_Be2CdSi
_chemical_formula_sum 'Be4 Cd2 Si2'
_cell_length_a 2.7978
_cell_length_b 3.6199
_cell_length_c 11.6216
_cell_angle_alpha 90.00
_cell_angle_beta 90.00
_cell_angle_gamma 90.00
_space_group_name_H-M_alt 'I m m 2'
_space_group_IT_number 44
_space_group_name_Hall 'I 2 -2'
loop_
_atom_site_label
_atom_site_fract_x
_atom_site_fract_y
_atom_site_fract_z
_atom_site_occupancy
Be1 0.0000 0.0000 0.0000 1
Be2 0.0000 0.5000 0.1163 1
Cd1 0.0000 0.5000 0.7333 1
Si1 0.0000 0.0000 0.4519 1
```